Record 1
# SmGaNi (GGA-PBE, optimized geometry)
data_SmGaNi
_chemical_formula_sum 'Sm4 Ga4 Ni4'
_space_group_name_H-M_alt 'F -4 3 m'
_space_group_IT_number 216
_space_group_name_Hall 'F -4 2 3'
_cell_length_a 6.576
_cell_length_b 6.576
_cell_length_c 6.576
_cell_angle_alpha 90.00
_cell_angle_beta 90.00
_cell_angle_gamma 90.00
loop_
_atom_site_label
_atom_site_type_symbol
_atom_site_fract_x
_atom_site_fract_y
_atom_site_fract_z
_atom_site_occupancy
Sm1 Sm 0.000 0.000 0.000 1
Ga1 Ga 0.250 0.250 0.750 1
Ni1 Ni 0.250 0.250 0.250 1
# Uncorrected energy: -4.1929 eV per atom

***

Record 2
# Si2TcNi (GGA-PBE, optimized geometry)
data_Si2TcNi
_chemical_formula_sum 'Si8 Tc4 Ni4'
_space_group_name_H-M_alt 'F -4 3 m'
_space_group_IT_number 216
_space_group_name_Hall 'F -4 2 3'
_cell_length_a 5.901
_cell_length_b 5.901
_cell_length_c 5.901
_cell_angle_alpha 90.00
_cell_angle_beta 90.00
_cell_angle_gamma 90.00
loop_
_atom_site_label
_atom_site_type_symbol
_atom_site_fract_x
_atom_site_fract_y
_atom_site_fract_z
_atom_site_occupancy
Si1 Si 0.000 0.000 0.000 1
Si2 Si 0.250 0.250 0.250 1
Tc1 Tc 0.250 0.250 0.750 1
Ni1 Ni 0.000 0.000 0.500 1
# Uncorrected energy: -6.5590 eV per atom

***

Record 3
# CsTmIn (GGA-PBE, optimized geometry)
data_CsTmIn
_chemical_formula_sum 'Cs4 Tm4 In4'
_space_group_name_H-M_alt 'F -4 3 m'
_space_group_IT_number 216
_space_group_name_Hall 'F -4 2 3'
_cell_length_a 7.811
_cell_length_b 7.811
_cell_length_c 7.811
_cell_angle_alpha 90.00
_cell_angle_beta 90.00
_cell_angle_gamma 90.00
loop_
_atom_site_label
_atom_site_type_symbol
_atom_site_fract_x
_atom_site_fract_y
_atom_site_fract_z
_atom_site_occupancy
Cs1 Cs 0.000 0.000 0.000 1
Tm1 Tm 0.250 0.250 0.250 1
In1 In 0.000 0.000 0.500 1
# Uncorrected energy: -2.1177 eV per atom

***

Record 4
# GdY2In3Ag2Pt (GGA-PBE, optimized geometry)
data_GdY2In3Ag2Pt
_chemical_formula_sum 'Gd2 Y4 In6 Ag4 Pt2'
_space_group_name_H-M_alt 'A m m 2'
_space_group_IT_number 38
_space_group_name_Hall 'A 2 -2'
_cell_length_a 3.992
_cell_length_b 13.426
_cell_length_c 7.746
_cell_angle_alpha 90.00
_cell_angle_beta 90.00
_cell_angle_gamma 90.00
loop_
_atom_site_label
_atom_site_type_symbol
_atom_site_fract_x
_atom_site_fract_y
_atom_site_fract_z
_atom_site_occupancy
Gd1 Gd 0.000 0.000 0.000 1
Y1 Y 0.000 0.198 0.596 1
In1 In 0.500 0.000 0.655 1
In2 In 0.500 0.129 0.270 1
Ag1 Ag 0.500 0.167 0.898 1
Pt1 Pt 0.000 0.000 0.398 1
# Uncorrected energy: -4.7753 eV per atom

***

Record 5
# CuAg2Bi (GGA-PBE, optimized geometry)
data_CuAg2Bi
_chemical_formula_sum 'Cu4 Ag8 Bi4'
_space_group_name_H-M_alt 'F -4 3 m'
_space_group_IT_number 216
_space_group_name_Hall 'F -4 2 3'
_cell_length_a 6.807
_cell_length_b 6.807
_cell_length_c 6.807
_cell_angle_alpha 90.00
_cell_angle_beta 90.00
_cell_angle_gamma 90.00
loop_
_atom_site_label
_atom_site_type_symbol
_atom_site_fract_x
_atom_site_fract_y
_atom_site_fract_z
_atom_site_occupancy
Cu1 Cu 0.000 0.000 0.000 1
Ag1 Ag 0.000 0.000 0.500 1
Ag2 Ag 0.250 0.250 0.750 1
Bi1 Bi 0.250 0.250 0.250 1
# Uncorrected energy: -3.1595 eV per atom

***

Record 6
# GaSn2Mo (GGA-PBE, optimized geometry)
data_GaSn2Mo
_chemical_formula_sum 'Ga4 Sn8 Mo4'
_space_group_name_H-M_alt 'F -4 3 m'
_space_group_IT_number 216
_space_group_name_Hall 'F -4 2 3'
_cell_length_a 6.962
_cell_length_b 6.962
_cell_length_c 6.962
_cell_angle_alpha 90.00
_cell_angle_beta 90.00
_cell_angle_gamma 90.00
loop_
_atom_site_label
_atom_site_type_symbol
_atom_site_fract_x
_atom_site_fract_y
_atom_site_fract_z
_atom_site_occupancy
Ga1 Ga 0.000 0.000 0.000 1
Sn1 Sn 0.000 0.000 0.500 1
Sn2 Sn 0.250 0.250 0.750 1
Mo1 Mo 0.250 0.250 0.250 1
# Uncorrected energy: -4.8517 eV per atom

***

Record 7
# NdHo2In3AgPd2 (GGA-PBE, optimized geometry)
data_NdHo2In3AgPd2
_chemical_formula_sum 'Nd2 Ho4 In6 Ag2 Pd4'
_space_group_name_H-M_alt 'A m m 2'
_space_group_IT_number 38
_space_group_name_Hall 'A 2 -2'
_cell_length_a 3.832
_cell_length_b 13.645
_cell_length_c 7.833
_cell_angle_alpha 90.00
_cell_angle_beta 90.00
_cell_angle_gamma 90.00
loop_
_atom_site_label
_atom_site_type_symbol
_atom_site_fract_x
_atom_site_fract_y
_atom_site_fract_z
_atom_site_occupancy
Nd1 Nd 0.000 0.000 0.000 1
Ho1 Ho 0.000 0.205 0.614 1
In1 In 0.500 0.000 0.674 1
In2 In 0.500 0.135 0.278 1
Ag1 Ag 0.000 0.000 0.412 1
Pd1 Pd 0.500 0.170 0.908 1
# Uncorrected energy: -4.6024 eV per atom

***

Record 8
# Sm4DyI2 (GGA-PBE, optimized geometry)
data_Sm4DyI2
_chemical_formula_sum 'Sm8 Dy2 I4'
_space_group_name_H-M_alt 'C m m m'
_space_group_IT_number 65
_space_group_name_Hall '-C 2 2'
_cell_length_a 10.160
_cell_length_b 12.269
_cell_length_c 3.745
_cell_angle_alpha 90.00
_cell_angle_beta 90.00
_cell_angle_gamma 90.00
loop_
_atom_site_label
_atom_site_type_symbol
_atom_site_fract_x
_atom_site_fract_y
_atom_site_fract_z
_atom_site_occupancy
Sm1 Sm 0.000 0.226 0.000 1
Sm2 Sm 0.177 0.000 0.500 1
Dy1 Dy 0.000 0.500 0.000 1
I1 I 0.250 0.250 0.500 1
# Uncorrected energy: -3.9916 eV per atom

***

Record 9
# HoEr6Tm (GGA-PBE, optimized geometry)
data_HoEr6Tm
_chemical_formula_sum 'Ho1 Er6 Tm1'
_space_group_name_H-M_alt 'P -6 m 2'
_space_group_IT_number 187
_space_group_name_Hall 'P -6 2'
_cell_length_a 7.1434
_cell_length_b 7.1434
_cell_length_c 5.5287
_cell_angle_alpha 90.00
_cell_angle_beta 90.00
_cell_angle_gamma 120.00
loop_
_atom_site_label
_atom_site_type_symbol
_atom_site_fract_x
_atom_site_fract_y
_atom_site_fract_z
_atom_site_occupancy
Ho1 Ho 0.0000 0.0000 0.0000 1
Er1 Er 0.9996 0.4998 0.0000 1
Er2 Er 0.3335 0.1668 0.5000 1
Tm1 Tm 0.3333 0.6667 0.5000 1
# Uncorrected energy: -4.5540 eV per atom

***

Record 10
# LiAgSnO3 (GGA-PBE, optimized geometry)
data_LiAgSnO3
_chemical_formula_sum 'Li4 Ag4 Sn4 O12'
_space_group_name_H-M_alt 'P n m a'
_space_group_IT_number 62
_space_group_name_Hall '-P 2ac 2n'
_cell_length_a 10.787
_cell_length_b 3.141
_cell_length_c 8.895
_cell_angle_alpha 90.00
_cell_angle_beta 90.00
_cell_angle_gamma 90.00
loop_
_atom_site_label
_atom_site_type_symbol
_atom_site_fract_x
_atom_site_fract_y
_atom_site_fract_z
_atom_site_occupancy
Li1 Li 0.221 0.250 0.168 1
Ag1 Ag 0.115 0.250 0.480 1
Sn1 Sn 0.041 0.250 0.844 1
O1 O 0.058 0.250 0.252 1
O2 O 0.106 0.750 0.986 1
O3 O 0.184 0.250 0.702 1
# Uncorrected energy: -5.2769 eV per atom

***

Record 11
# SrSc2Ni (GGA-PBE, optimized geometry)
data_SrSc2Ni
_chemical_formula_sum 'Sr4 Sc8 Ni4'
_space_group_name_H-M_alt 'F -4 3 m'
_space_group_IT_number 216
_space_group_name_Hall 'F -4 2 3'
_cell_length_a 7.256
_cell_length_b 7.256
_cell_length_c 7.256
_cell_angle_alpha 90.00
_cell_angle_beta 90.00
_cell_angle_gamma 90.00
loop_
_atom_site_label
_atom_site_type_symbol
_atom_site_fract_x
_atom_site_fract_y
_atom_site_fract_z
_atom_site_occupancy
Sr1 Sr 0.000 0.000 0.000 1
Sc1 Sc 0.000 0.000 0.500 1
Sc2 Sc 0.250 0.250 0.250 1
Ni1 Ni 0.250 0.250 0.750 1
# Uncorrected energy: -4.5847 eV per atom

***

Record 12
# MgBeFeSi (GGA-PBE, optimized geometry)
data_MgBeFeSi
_chemical_formula_sum 'Mg4 Be4 Fe4 Si4'
_space_group_name_H-M_alt 'F -4 3 m'
_space_group_IT_number 216
_space_group_name_Hall 'F -4 2 3'
_cell_length_a 5.734
_cell_length_b 5.734
_cell_length_c 5.734
_cell_angle_alpha 90.00
_cell_angle_beta 90.00
_cell_angle_gamma 90.00
loop_
_atom_site_label
_atom_site_type_symbol
_atom_site_fract_x
_atom_site_fract_y
_atom_site_fract_z
_atom_site_occupancy
Mg1 Mg 0.000 0.000 0.000 1
Be1 Be 0.250 0.250 0.750 1
Fe1 Fe 0.000 0.000 0.500 1
Si1 Si 0.250 0.250 0.250 1
# Excess energy over the best structure of this formula in the dataset: 0.0 kJ/mol of formula units
# Uncorrected energy: -4.6578 eV per atom